[1]
Computed, not measured: an optimized crystal structure of BeReTe2 at the GGA-PBE level of DFT.

Cell and atoms, written as POSCAR:
```
BeReTe2
1.0
7.7186 0.0213 0.0128
6.9598 3.3375 0.0128
6.9598 1.5926 2.9330
Re Te Be
1 2 1
Direct
0.7500 0.7500 0.7500
0.9948 0.9948 0.9948
0.5052 0.5052 0.5052
0.2500 0.2500 0.2500
```

Results
density: 9.997 Mg/m³
formation energy from raw total energies: 0.624 eV/atom
DOS at the Fermi energy: 2.34 states/eV per cell
calculated volume: 18.70 Å³ per atom

***

[2]
Computed, not measured: an optimized crystal structure of BeReTe2 at the GGA-PBE level of DFT.

Cell and atoms, written as POSCAR:
```
BeReTe2
1.0
4.7376 -0.0129 -0.0212
-0.7562 4.6769 -0.0212
0.0146 0.0171 3.3541
Re Te Be
1 2 1
Direct
0.0000 0.5000 0.5000
0.0000 0.0000 0.0000
0.5000 0.5000 0.0000
0.5000 0.0000 0.5000
```

Results
density: 10.068 Mg/m³
formation energy from raw total energies: 0.929 eV/atom
DOS at the Fermi energy: 3.76 states/eV per cell
calculated volume: 18.57 Å³ per atom

***

[3]
Computed, not measured: an optimized crystal structure of BeReTe2 at the GGA-PBE level of DFT.

Cell and atoms, written as POSCAR:
```
BeReTe2
1.0
5.9312 0.0000 0.0000
0.0000 5.9312 0.0000
2.9656 2.9656 5.5831
Re Te Be
2 4 2
Direct
0.0000 0.0000 0.0000
0.7500 0.2500 0.5000
0.6024 0.1250 0.2500
0.1476 0.6250 0.2500
0.3750 0.3976 0.7500
0.8750 0.8524 0.7500
0.5000 0.5000 0.0000
0.2500 0.7500 0.5000
```

Results
density: 7.616 Mg/m³
formation energy from raw total energies: 0.559 eV/atom
DOS at the Fermi energy: 7.65 states/eV per cell
calculated volume: 24.55 Å³ per atom

***

[4]
Computed, not measured: an optimized crystal structure of BeReTe2 at the GGA-PBE level of DFT.

Cell and atoms, written as POSCAR:
```
BeReTe2
1.0
4.7375 0.0000 0.0000
2.3687 4.1028 0.0000
2.3687 1.3676 3.8681
Re Te Be
1 2 1
Direct
0.7500 0.7500 0.7500
0.0000 0.0000 0.0000
0.2500 0.2500 0.2500
0.5000 0.5000 0.5000
```

Results
density: 9.948 Mg/m³
formation energy from raw total energies: 1.234 eV/atom
DOS at the Fermi energy: 1.46 states/eV per cell
calculated volume: 18.80 Å³ per atom

***

Number 3 is which compound?
BeReTe2

***

Which value of DOS at the Fermi energy does entry 2 give?
3.76 states/eV per cell